Here is a relaxed MgTaBe crystal from Alexandria via LeMat-Bulk. Energies are from GGA-PBE.

Cell lengths 6.144, 6.144, 6.144 Å; angles 90.00, 90.00, 90.00 degrees
Space group F-43m (No. 216)
Symmetry-distinct sites (fractional):
Mg 0.000 0.000 0.000 [4 per cell]
Ta 0.250 0.250 0.750 [4 per cell]
Be 0.000 0.000 0.500 [4 per cell]

* ρ: 6.137 Mg/m³
* energy above the lowest structure with this stoichiometry: 1.181 eV/atom
* raw total energy: -4.385 eV/atom
* energy relative to the elements: 1.340 eV/atom

=====

Here is a relaxed Ce3Pm5S8 crystal from Alexandria via LeMat-Bulk. Energies are from GGA-PBE.

Cell lengths 8.0599, 8.0599, 19.7495 Å; angles 90.00, 90.00, 120.00 degrees
Space group R-3m (No. 166, hexagonal axes)
Symmetry-distinct sites (fractional):
Ce 0.0000 0.5000 0.0000 [9 per cell]
Pm 0.0000 0.0000 0.0000 [3 per cell]
Pm 0.0000 0.0000 0.5000 [3 per cell]
Pm 0.0000 0.5000 0.5000 [9 per cell]
S 0.0000 0.0000 0.2501 [6 per cell]
S 0.0004 0.5002 0.2502 [18 per cell]

* ρ: 6.285 Mg/m³
* uncorrected formation energy: -2.0439 eV per atom
* raw total energy: -6.705 eV/atom

=====

Here is a relaxed Cd2BiPb crystal from Alexandria via LeMat-Bulk. Energies are from GGA-PBE.

Cell lengths 7.645, 7.645, 7.645 Å; angles 90.00, 90.00, 90.00 degrees
Space group Fm-3m (No. 225)
Symmetry-distinct sites (fractional):
Cd 0.250 0.250 0.250 [8 per cell]
Bi 0.000 0.000 0.000 [4 per cell]
Pb 0.000 0.000 0.500 [4 per cell]

* ρ: 9.530 Mg/m³
* energy above the lowest structure with this stoichiometry: 0.032 eV/atom
* raw total energy: -2.267 eV/atom
* energy relative to the elements: 0.088 eV/atom

=====

Here is a relaxed Sc12Ti3Sn5 crystal from Alexandria via LeMat-Bulk. Energies are from GGA-PBE.

Cell lengths 16.873, 16.873, 16.873 Å; angles 90.00, 90.00, 90.00 degrees
Space group Ia-3d (No. 230)
Symmetry-distinct sites (fractional):
Sc 0.017 0.079 0.649 [96 per cell]
Ti 0.000 0.250 0.125 [24 per cell]
Sn 0.000 0.000 0.000 [16 per cell]
Sn 0.000 0.250 0.375 [24 per cell]

* ρ: 3.530 Mg/m³
* raw total energy: -5.549 eV/atom
* energy relative to the elements: 0.435 eV/atom

=====

Here is a relaxed Sc2GeSb2 crystal from Alexandria via LeMat-Bulk. Energies are from GGA-PBE.

Cell lengths 7.887, 7.887, 3.879 Å; angles 90.00, 90.00, 90.00 degrees
Space group P4/mbm (No. 127)
Symmetry-distinct sites (fractional):
Sc 0.145 0.355 0.000 [4 per cell]
Ge 0.000 0.000 0.500 [2 per cell]
Sb 0.155 0.655 0.500 [4 per cell]

* ρ: 5.590 Mg/m³
* uncorrected formation energy: -0.4820 eV per atom
* energy above the lowest structure with this stoichiometry: 0.069 eV/atom
* raw total energy: -5.587 eV/atom

=====

Here is a relaxed KTlMo3 crystal from Alexandria via LeMat-Bulk. Energies are from GGA-PBE.

Cell lengths 5.172, 5.172, 5.172 Å; angles 90.00, 90.00, 90.00 degrees
Space group Pm-3m (No. 221)
Symmetry-distinct sites (fractional):
K 0.000 0.000 0.000 [1 per cell]
Tl 0.500 0.500 0.500 [1 per cell]
Mo 0.000 0.500 0.500 [3 per cell]

* ρ: 6.376 Mg/m³
* energy above the lowest structure with this stoichiometry: 0.000 eV/atom
* raw total energy: -4.537 eV/atom
* energy relative to the elements: 2.654 eV/atom

=====

Here is a relaxed Ac2PmYTm crystal from Alexandria via LeMat-Bulk. Energies are from GGA-PBE.

Cell lengths 6.437, 8.947, 6.709 Å; angles 90.00, 90.00, 90.00 degrees
Space group Pmma (No. 51)
Symmetry-distinct sites (fractional):
Ac 0.250 0.205 0.212 [4 per cell]
Pm 0.250 0.500 0.917 [2 per cell]
Y 0.250 0.000 0.685 [2 per cell]
Tm 0.000 0.500 0.500 [2 per cell]

* ρ: 7.364 Mg/m³
* raw total energy: -4.518 eV/atom
* energy relative to the elements: 0.262 eV/atom

=====

Here is a relaxed Ba2ZnPdI crystal from Alexandria via LeMat-Bulk. Energies are from GGA-PBE.

Cell lengths 6.202, 6.202, 4.917 Å; angles 90.00, 90.00, 90.00 degrees
Space group P4/mmm (No. 123)
Symmetry-distinct sites (fractional):
Ba 0.000 0.500 0.000 [2 per cell]
Zn 0.000 0.000 0.500 [1 per cell]
Pd 0.000 0.000 0.000 [1 per cell]
I 0.500 0.500 0.500 [1 per cell]

* ρ: 5.035 Mg/m³
* uncorrected formation energy: -0.7136 eV per atom
* raw total energy: -3.086 eV/atom

=====

Here is a relaxed CsSrPtF6 crystal from Alexandria via LeMat-Bulk. Energies are from GGA-PBE.

Cell lengths 5.419, 5.989, 6.290 Å; angles 61.67, 89.35, 89.82 degrees
Space group P1 (No. 1)
Symmetry-distinct sites (fractional):
Cs 0.000 0.000 0.000 [1 per cell]
Sr 0.518 0.659 0.679 [1 per cell]
Pt 0.609 0.327 0.329 [1 per cell]
F 0.400 0.278 0.669 [1 per cell]
F 0.402 0.616 0.089 [1 per cell]
F 0.422 0.063 0.282 [1 per cell]
F 0.793 0.568 0.410 [1 per cell]
F 0.813 0.027 0.551 [1 per cell]
F 0.834 0.471 0.967 [1 per cell]

* ρ: 4.894 Mg/m³
* uncorrected formation energy: -2.4252 eV per atom
* raw total energy: -4.626 eV/atom

=====

Here is a relaxed DyMgTiZn crystal from Alexandria via LeMat-Bulk. Energies are from GGA-PBE.

Cell lengths 6.926, 6.926, 6.926 Å; angles 90.00, 90.00, 90.00 degrees
Space group F-43m (No. 216)
Symmetry-distinct sites (fractional):
Dy 0.000 0.000 0.000 [4 per cell]
Mg 0.250 0.250 0.250 [4 per cell]
Ti 0.000 0.000 0.500 [4 per cell]
Zn 0.250 0.250 0.750 [4 per cell]

* ρ: 6.000 Mg/m³
* raw total energy: -3.813 eV/atom
* energy relative to the elements: 0.029 eV/atom

=====

Here is a relaxed Ti2MnAs crystal from Alexandria via LeMat-Bulk. Energies are from GGA-PBE.

Cell lengths 6.821, 6.821, 5.281 Å; angles 90.00, 90.00, 90.00 degrees
Space group I-42d (No. 122)
Symmetry-distinct sites (fractional):
Ti 0.219 0.250 0.125 [8 per cell]
Mn 0.000 0.000 0.000 [4 per cell]
As 0.000 0.000 0.500 [4 per cell]

* ρ: 6.099 Mg/m³
* raw total energy: -7.380 eV/atom
* energy relative to the elements: 0.023 eV/atom

=====

Here is a relaxed KPmSeCl crystal from Alexandria via LeMat-Bulk. Energies are from GGA-PBE.

Cell lengths 4.1347, 4.1347, 23.7590 Å; angles 90.00, 90.00, 120.00 degrees
Space group R3m (No. 160, hexagonal axes)
Symmetry-distinct sites (fractional):
K 0.0000 0.0000 0.0000 [3 per cell]
Pm 0.0000 0.0000 0.1766 [3 per cell]
Se 0.0000 0.0000 0.5797 [3 per cell]
Cl 0.0000 0.0000 0.7659 [3 per cell]

* ρ: 4.228 Mg/m³
* uncorrected formation energy: -1.6182 eV per atom
* raw total energy: -4.413 eV/atom

=====

Here is a relaxed K6Pd3F14 crystal from Alexandria via LeMat-Bulk. Energies are from GGA-PBE.

Cell lengths 9.2373, 9.2373, 6.2477 Å; angles 90.00, 90.00, 120.00 degrees
Space group P3 (No. 143)
Symmetry-distinct sites (fractional):
K 0.0439 0.2656 0.0000 [3 per cell]
K 0.4589 0.4178 0.5186 [3 per cell]
Pd 0.0000 0.0000 0.5368 [1 per cell]
Pd 0.3333 0.6667 0.1601 [1 per cell]
Pd 0.6667 0.3333 0.0662 [1 per cell]
F 0.0000 0.0000 0.1967 [1 per cell]
F 0.1363 0.5998 0.9787 [3 per cell]
F 0.2048 0.1675 0.7274 [3 per cell]
F 0.2068 0.4702 0.3440 [3 per cell]
F 0.4548 0.1891 0.2579 [3 per cell]
F 0.6667 0.3333 0.7256 [1 per cell]

* ρ: 2.949 Mg/m³
* uncorrected formation energy: -2.0158 eV per atom
* raw total energy: -4.119 eV/atom

=====

Here is a relaxed Tb3Pr2Dy5 crystal from Alexandria via LeMat-Bulk. Energies are from GGA-PBE.

Cell lengths 9.424, 21.758, 6.829 Å; angles 90.00, 90.00, 90.00 degrees
Space group Ibam (No. 72)
Symmetry-distinct sites (fractional):
Tb 0.000 0.000 0.250 [4 per cell]
Tb 0.249 0.374 0.000 [8 per cell]
Pr 0.104 0.125 0.000 [8 per cell]
Dy 0.000 0.251 0.250 [8 per cell]
Dy 0.000 0.500 0.250 [4 per cell]
Dy 0.088 0.375 0.500 [8 per cell]

* ρ: 7.452 Mg/m³
* energy above the lowest structure with this stoichiometry: 0.211 eV/atom
* raw total energy: -4.244 eV/atom
* energy relative to the elements: 0.402 eV/atom

=====

Here is a relaxed CuTe crystal from Alexandria via LeMat-Bulk. Energies are from GGA-PBE.

Cell lengths 3.238, 4.018, 7.469 Å; angles 90.00, 90.00, 90.00 degrees
Space group Pmmn (No. 59, origin choice 2)
Symmetry-distinct sites (fractional):
Cu 0.250 0.250 0.036 [2 per cell]
Te 0.250 0.750 0.261 [2 per cell]

* ρ: 6.532 Mg/m³
* uncorrected formation energy: -0.0729 eV per atom
* raw total energy: -3.692 eV/atom